[1]
First-principles (GGA-PBE) data for a relaxed structure of NiSICl2, as listed in Alexandria via LeMat-Bulk.

Output
* V: 153.3 Å³/cell
* raw total energy: -10.52 eV for the cell shown
* E above lowest polymorph: 802 meV/atom
* density: 3125 kg/m3
* ΔE_f (raw): 4.64 eV per formula unit

Cell: 5.4580 5.4580 5.1466 Å, 90.00 90.00 90.00°
Last column: nearest neighbours and their distance in Å.
Sites, in units of the cell vectors:
Ni 0.0000 0.0000 0.0000  8 Cl 3.75, 4 S 3.86
S 0.5000 0.5000 0.0000  2 I 2.57
I 0.5000 0.5000 0.5000  2 S 2.57, 4 Cl 2.73
Cl 0.0000 0.5000 0.5000  2 I 2.73
Cl 0.5000 0.0000 0.5000  2 I 2.73

[2]
First-principles (GGA-PBE) data for a relaxed structure of RbIn3Pd3, as listed in Alexandria via LeMat-Bulk.

Output
* V: 419.2 Å³/cell
* raw total energy: -51.69 eV for the cell shown
* energy of formation from the pure elements: -14.96 kJ per mole of atoms
* density: 5936 kg/m3

Cell: 7.4839 7.4839 7.4839 Å, 90.00 90.00 90.00°
Last column: nearest neighbours and their distance in Å.
Sites, in units of the cell vectors:
Rb 0.0000 0.0000 0.0000  12 In 4.18, 12 Pd 4.18
Rb 0.5000 0.5000 0.5000  12 In 4.18, 12 Pd 4.18
In 0.0000 0.2500 0.5000  4 Pd 2.65
In 0.0000 0.7500 0.5000  4 Pd 2.65
In 0.2500 0.5000 0.0000  4 Pd 2.65
In 0.5000 0.0000 0.2500  4 Pd 2.65
In 0.5000 0.0000 0.7500  4 Pd 2.65
In 0.7500 0.5000 0.0000  4 Pd 2.65
Pd 0.0000 0.5000 0.2500  4 In 2.65
Pd 0.0000 0.5000 0.7500  4 In 2.65
Pd 0.2500 0.0000 0.5000  4 In 2.65
Pd 0.5000 0.2500 0.0000  4 In 2.65
Pd 0.5000 0.7500 0.0000  4 In 2.65
Pd 0.7500 0.0000 0.5000  4 In 2.65

[3]
First-principles (GGA-PBE) data for a relaxed structure of AcPuTe2Br, as listed in Alexandria via LeMat-Bulk.

Output
* V: 348.6 Å³/cell
* raw total energy: -65.84 eV for the cell shown
* density: 7679 kg/m3
* ΔE_f (raw): -6.52 eV per formula unit

Cell: 4.6694 4.6694 15.9896 Å, 90.00 90.00 90.00°
Last column: nearest neighbours and their distance in Å.
Sites, in units of the cell vectors:
Ac 0.2500 0.2500 0.1097  6 Te 3.21-3.48
Ac 0.7500 0.7500 0.8903  6 Te 3.21-3.48
Pu 0.2500 0.2500 0.6274  4 Br 3.10, 4 Te 3.45
Pu 0.7500 0.7500 0.3726  4 Br 3.10, 4 Te 3.45
Te 0.2500 0.2500 0.3106  1 Ac 3.21, 4 Pu 3.45
Te 0.2500 0.2500 0.8918  5 Ac 3.30-3.48
Te 0.7500 0.7500 0.1082  5 Ac 3.30-3.48
Te 0.7500 0.7500 0.6894  1 Ac 3.21, 4 Pu 3.45
Br 0.2500 0.7500 0.5000  4 Pu 3.10, 4 Br 3.30
Br 0.7500 0.2500 0.5000  4 Pu 3.10, 4 Br 3.30

[4]
First-principles (GGA-PBE) data for a relaxed structure of TlRe2O8, as listed in Alexandria via LeMat-Bulk.

Output
* V: 216.4 Å³/cell
* raw total energy: -81.54 eV for the cell shown
* density: 5409 kg/m3
* ΔE_f (raw): -14.61 eV per formula unit

Cell: 6.6727 6.6727 6.0146 Å, 106.15 106.15 58.47°
Last column: nearest neighbours and their distance in Å.
Sites, in units of the cell vectors:
Tl 0.0000 0.0000 0.0000  2 O 2.37
Re 0.1931 0.1931 0.6751  4 O 1.73-1.79
Re 0.8069 0.8069 0.3249  4 O 1.73-1.79
O 0.0838 0.6581 0.2291  1 Re 1.76
O 0.1596 0.1596 0.3626  1 Re 1.79
O 0.3419 0.9162 0.7709  1 Re 1.76
O 0.3491 0.3491 0.8020  1 Re 1.73
O 0.6509 0.6509 0.1980  1 Re 1.73
O 0.6581 0.0838 0.2291  1 Re 1.76
O 0.8404 0.8404 0.6374  1 Re 1.79
O 0.9162 0.3419 0.7709  1 Re 1.76

[5]
First-principles (GGA-PBE) data for a relaxed structure of Tl2IrOs, as listed in Alexandria via LeMat-Bulk.

Output
* V: 89.0 Å³/cell
* raw total energy: -22.76 eV for the cell shown
* E above lowest polymorph: 0 meV/atom
* energy of formation from the pure elements: 49.67 kJ per mole of atoms
* density: 14757 kg/m3

Cell: 2.8723 3.6956 8.4917 Å, 90.00 98.98 90.00°
Last column: nearest neighbours and their distance in Å.
Sites, in units of the cell vectors:
Tl 0.0000 0.0000 0.0000  2 Tl 2.87, 2 Ir 3.20
Tl 0.1736 0.5000 0.3510  2 Tl 2.87, 4 Os 3.19-3.22
Ir 0.3622 0.5000 0.7370  4 Os 2.57, 2 Ir 2.87
Os 0.8052 0.0000 0.6114  4 Ir 2.57, 2 Os 2.87

[6]
First-principles (GGA-PBE) data for a relaxed structure of NdNi13, as listed in Alexandria via LeMat-Bulk.

Output
* V: 354.3 Å³/cell
* raw total energy: -162.21 eV for the cell shown
* energy of formation from the pure elements: -8.12 kJ per mole of atoms
* density: 8505 kg/m3

Cell: 7.9423 7.9423 7.9423 Å, 60.00 60.00 60.00°
Last column: nearest neighbours and their distance in Å.
Sites, in units of the cell vectors:
Nd 0.2500 0.2500 0.2500  24 Ni 3.28
Nd 0.7500 0.7500 0.7500  24 Ni 3.28
Ni 0.0000 0.0000 0.0000  12 Ni 2.41
Ni 0.0636 0.2962 0.7038  10 Ni 2.40-2.61
Ni 0.0636 0.7038 0.9364  10 Ni 2.40-2.61
Ni 0.0636 0.9364 0.2962  10 Ni 2.40-2.61
Ni 0.2038 0.4364 0.7962  10 Ni 2.40-2.61
Ni 0.2038 0.5636 0.4364  10 Ni 2.40-2.61
Ni 0.2038 0.7962 0.5636  10 Ni 2.40-2.61
Ni 0.2962 0.0636 0.9364  10 Ni 2.40-2.61
Ni 0.2962 0.7038 0.0636  10 Ni 2.40-2.61
Ni 0.2962 0.9364 0.7038  10 Ni 2.40-2.61
Ni 0.4364 0.2038 0.5636  10 Ni 2.40-2.61
Ni 0.4364 0.5636 0.7962  10 Ni 2.40-2.61
Ni 0.4364 0.7962 0.2038  10 Ni 2.40-2.61
Ni 0.5000 0.5000 0.5000  12 Ni 2.41
Ni 0.5636 0.2038 0.7962  10 Ni 2.40-2.61
Ni 0.5636 0.4364 0.2038  10 Ni 2.40-2.61
Ni 0.5636 0.7962 0.4364  10 Ni 2.40-2.61
Ni 0.7038 0.0636 0.2962  10 Ni 2.40-2.61
Ni 0.7038 0.2962 0.9364  10 Ni 2.40-2.61
Ni 0.7038 0.9364 0.0636  10 Ni 2.40-2.61
Ni 0.7962 0.2038 0.4364  10 Ni 2.40-2.61
Ni 0.7962 0.4364 0.5636  10 Ni 2.40-2.61
Ni 0.7962 0.5636 0.2038  10 Ni 2.40-2.61
Ni 0.9364 0.0636 0.7038  10 Ni 2.40-2.61
Ni 0.9364 0.2962 0.0636  10 Ni 2.40-2.61
Ni 0.9364 0.7038 0.2962  10 Ni 2.40-2.61

[7]
First-principles (GGA-PBE) data for a relaxed structure of K2Ce2PaSe6, as listed in Alexandria via LeMat-Bulk.

Output
* V: 374.4 Å³/cell
* raw total energy: -62.10 eV for the cell shown
* density: 4716 kg/m3
* ΔE_f (raw): -17.63 eV per formula unit

Cell: 7.4213 7.4213 8.2082 Å, 98.85 98.85 119.57°
Last column: nearest neighbours and their distance in Å.
Sites, in units of the cell vectors:
K 0.1694 0.8306 0.0000  6 Se 3.37-3.43
K 0.8306 0.1694 0.0000  6 Se 3.37-3.43
Ce 0.3342 0.6658 0.5000  6 Se 2.98-2.99
Ce 0.6658 0.3342 0.5000  6 Se 2.98-2.99
Pa 0.0000 0.0000 0.5000  6 Se 2.86-2.87
Se 0.0672 0.3901 0.7032  1 Pa 2.87, 2 Ce 2.98-2.99
Se 0.2501 0.2501 0.2968  1 Pa 2.86, 2 Ce 2.98
Se 0.3901 0.0672 0.7032  1 Pa 2.87, 2 Ce 2.98-2.99
Se 0.6099 0.9328 0.2968  1 Pa 2.87, 2 Ce 2.98-2.99
Se 0.7499 0.7499 0.7032  1 Pa 2.86, 2 Ce 2.98
Se 0.9328 0.6099 0.2968  1 Pa 2.87, 2 Ce 2.98-2.99

[8]
First-principles (GGA-PBE) data for a relaxed structure of IrC4, as listed in Alexandria via LeMat-Bulk.

Output
* V: 94.4 Å³/cell
* raw total energy: -85.71 eV for the cell shown
* E above lowest polymorph: 0 meV/atom
* energy of formation from the pure elements: 55.99 kJ per mole of atoms
* density: 8452 kg/m3

Cell: 4.9565 4.9565 4.8958 Å, 90.00 90.00 128.29°
Last column: nearest neighbours and their distance in Å.
Sites, in units of the cell vectors:
Ir 0.2500 0.7500 0.7500  4 C 2.20
Ir 0.7500 0.2500 0.2500  4 C 2.20
C 0.0675 0.1011 0.1262  3 C 1.41-1.47
C 0.1011 0.0675 0.6262  3 C 1.41-1.47
C 0.3989 0.4325 0.6262  3 C 1.41-1.47
C 0.4325 0.3989 0.1262  3 C 1.41-1.47
C 0.5675 0.6011 0.8738  3 C 1.41-1.47
C 0.6011 0.5675 0.3738  3 C 1.41-1.47
C 0.8989 0.9325 0.3738  3 C 1.41-1.47
C 0.9325 0.8989 0.8738  3 C 1.41-1.47